Compound: Sm3Dy3Pd2
Source: Alexandria via LeMat-Bulk
Functional: PBE
Structure: optimized geometry

Space-group type: Cmcm (63)
Formation energy (meV per atom): -372
Calculated total energy (eV per atom): -5.17

Cell and atoms, written as POSCAR:
```
Sm3Dy3Pd2
1.0
1.9525 -6.4561 0.0000
1.9525 6.4561 0.0000
0.0000 0.0000 17.9874
Sm Dy Pd
6 6 4
direct
0.0496 0.9504 0.6050
0.0496 0.9504 0.8950
0.3520 0.6480 0.7500
0.6480 0.3520 0.2500
0.9504 0.0496 0.1050
0.9504 0.0496 0.3950
0.3457 0.6543 0.5419
0.3457 0.6543 0.9581
0.3805 0.6195 0.2500
0.6195 0.3805 0.7500
0.6543 0.3457 0.0419
0.6543 0.3457 0.4581
0.2498 0.7502 0.1270
0.2498 0.7502 0.3730
0.7502 0.2498 0.6270
0.7502 0.2498 0.8730
```